[1]
A relaxed structure of AcSm2Sb2, computed with PBE-GGA.

Values from the calculation:
The calculation puts the energy relative to the elements, uncorrected at -790 meV/atom.

a b c (Å): 8.1016 8.0930 4.6909
angles (deg): 73.26 73.06 33.68
Closest atoms and distances in Å follow each position.
Sites, in units of the cell vectors:
Ac  0.0000  0.0000  0.0000  8 Sb 3.65-3.67
Sm  0.2500  0.2500  0.2500  4 Sb 3.18, 4 Sm 3.31-3.33
Sm  0.7500  0.7500  0.7500  4 Sb 3.18, 4 Sm 3.31-3.33
Sb  0.3951  0.3951  0.6049  1 Sb 3.10, 4 Sm 3.18
Sb  0.6049  0.6049  0.3951  1 Sb 3.10, 4 Sm 3.18

***

[2]
A relaxed structure of SmGe3Pt3, computed with PBE-GGA.

Values from the calculation:
As for the formation enthalpy at 0 K: -52.4 kJ per mole of atoms. As for the offset from the most stable computed form: 0 meV per atom.

a b c (Å): 7.6035 7.6035 7.6035
angles (deg): 58.67 58.67 58.67
Closest atoms and distances in Å follow each position.
Sites, in units of the cell vectors:
Sm  0.1653  0.1653  0.1653  6 Pt 3.08-3.10, 6 Ge 3.13-3.17
Sm  0.8347  0.8347  0.8347  6 Pt 3.08-3.10, 6 Ge 3.13-3.17
Ge  0.0403  0.3918  0.7453  4 Pt 2.50-2.54
Ge  0.2547  0.9597  0.6082  4 Pt 2.50-2.54
Ge  0.3918  0.7453  0.0403  4 Pt 2.50-2.54
Ge  0.6082  0.2547  0.9597  4 Pt 2.50-2.54
Ge  0.7453  0.0403  0.3918  4 Pt 2.50-2.54
Ge  0.9597  0.6082  0.2547  4 Pt 2.50-2.54
Pt  0.0982  0.7192  0.4095  4 Ge 2.50-2.54
Pt  0.2808  0.5905  0.9018  4 Ge 2.50-2.54
Pt  0.4095  0.0982  0.7192  4 Ge 2.50-2.54
Pt  0.5905  0.9018  0.2808  4 Ge 2.50-2.54
Pt  0.7192  0.4095  0.0982  4 Ge 2.50-2.54
Pt  0.9018  0.2808  0.5905  4 Ge 2.50-2.54

***

Number 1: ρ 7.88 Mg/m³. Number 2: ρ 10.51 Mg/m³.